Entry 1:
Compound: CdTeAsBr2
Source: the Alexandria database
Functional: PBE
Structure: relaxed

Computed properties:
Formation energy (no corrections) (eV/atom): 0.304
Energy above the most stable polymorph in this dataset (meV per atom): 0
Space-group type: P4/mmm, No. 123
Volume (Å³ per atom): 34.85
Spin magnetization (μB/f.u.): 0.00
Total energy (eV per atom): -2.11

abc: 5.6310 5.6310 5.4955
angles: 90.00 90.00 90.00
Atoms (fractional coordinates):
As 0.0000 0.0000 0.5000
Te 0.0000 0.0000 0.0000
Br 0.0000 0.5000 0.0000
Br 0.5000 0.0000 0.0000
Cd 0.5000 0.5000 0.5000



Entry 2:
Compound: TiCdAsBr2
Source: the Alexandria database
Functional: PBE
Structure: relaxed

Computed properties:
Formation energy (no corrections) (eV/atom): -0.315
Energy above the most stable polymorph in this dataset (meV per atom): 0
Space-group type: P4/mmm, No. 123
Volume (Å³ per atom): 26.46
Spin magnetization (μB/f.u.): 0.00
Total energy (eV per atom): -3.68

abc: 5.0209 5.0209 5.2475
angles: 90.00 90.00 90.00
Atoms (fractional coordinates):
As 0.0000 0.0000 0.5000
Ti 0.0000 0.0000 0.0000
Br 0.0000 0.5000 0.0000
Br 0.5000 0.0000 0.0000
Cd 0.5000 0.5000 0.5000



Entry 3:
Compound: TlCdAsBr2
Source: the Alexandria database
Functional: PBE
Structure: relaxed

Computed properties:
Formation energy (no corrections) (eV/atom): -0.153
Energy above the most stable polymorph in this dataset (meV per atom): 0
Space-group type: P4/mmm, No. 123
Volume (Å³ per atom): 34.95
Spin magnetization (μB/f.u.): 2.00
Total energy (eV per atom): -2.41

abc: 5.7568 5.7568 5.2726
angles: 90.00 90.00 90.00
Last column: magnetic moment on the atom in μB.
Atoms (fractional coordinates):
Tl 0.5000 0.5000 0.5000  0.02
As 0.0000 0.0000 0.5000  0.76
Br 0.0000 0.5000 0.0000  0.08
Br 0.5000 0.0000 0.0000  0.08
Cd 0.0000 0.0000 0.0000  0.01



Entry 4:
Compound: TlCdAs2Br
Source: the Alexandria database
Functional: PBE
Structure: relaxed

Computed properties:
Formation energy (no corrections) (eV/atom): 0.337
Energy above the most stable polymorph in this dataset (meV per atom): 0
Space-group type: P4/mmm, No. 123
Volume (Å³ per atom): 32.68
Spin magnetization (μB/f.u.): 1.65
Total energy (eV per atom): -2.51

abc: 5.1935 5.1935 6.0572
angles: 90.00 90.00 90.00
Last column: magnetic moment on the atom in μB.
Atoms (fractional coordinates):
Tl 0.5000 0.5000 0.5000  0.01
As 0.0000 0.5000 0.0000  0.34
As 0.5000 0.0000 0.0000  0.34
Br 0.0000 0.0000 0.5000  0.12
Cd 0.0000 0.0000 0.0000  0.01



Entry 5:
Compound: TlCdAsBr6
Source: the Alexandria database
Functional: PBE
Structure: relaxed

Computed properties:
Formation energy (no corrections) (eV/atom): -0.654
Space-group type: P312, No. 149
Volume (Å³ per atom): 35.66
Spin magnetization (μB/f.u.): 0.00
Total energy (eV per atom): -2.65

abc: 7.1101 7.1100 7.3309
angles: 90.00 90.00 60.00
Atoms (fractional coordinates):
Tl 0.0000 0.0000 0.0000
Cd 0.6666 0.6667 0.5000
As 0.3333 0.3333 0.5000
Br 0.0136 0.3621 0.2851
Br 0.3621 0.0136 0.7149
Br 0.6242 0.3621 0.7149
Br 0.0136 0.6243 0.7149
Br 0.3621 0.6243 0.2851
Br 0.6242 0.0136 0.2851



Entry 6:
Compound: VCdAs2Br
Source: the Alexandria database
Functional: PBE
Structure: relaxed

Computed properties:
Formation energy (no corrections) (eV/atom): 0.102
Energy above the most stable polymorph in this dataset (meV per atom): 0
Space-group type: P4/mmm, No. 123
Volume (Å³ per atom): 24.33
Spin magnetization (μB/f.u.): 0.35
Total energy (eV per atom): -4.10

abc: 4.7191 4.7191 5.4618
angles: 90.00 90.00 90.00
Last column: magnetic moment on the atom in μB.
Atoms (fractional coordinates):
As 0.0000 0.5000 0.0000  -0.12
As 0.5000 0.0000 0.0000  -0.12
V 0.0000 0.0000 0.0000  0.75
Br 0.0000 0.0000 0.5000  -0.03
Cd 0.5000 0.5000 0.5000  0.00



Entry 7:
Compound: CdAs2WBr
Source: the Alexandria database
Functional: PBE
Structure: relaxed

Computed properties:
Formation energy (no corrections) (eV/atom): 1.638
Energy above the most stable polymorph in this dataset (meV per atom): 1244
Space-group type: P4/mmm, No. 123
Volume (Å³ per atom): 27.57
Spin magnetization (μB/f.u.): 3.02
Total energy (eV per atom): -3.33

abc: 5.1020 5.1020 5.2959
angles: 90.00 90.00 90.00
Last column: magnetic moment on the atom in μB.
Atoms (fractional coordinates):
As 0.0000 0.5000 0.0000  -0.26
As 0.5000 0.0000 0.0000  -0.26
Br 0.0000 0.0000 0.5000  -0.09
W 0.5000 0.5000 0.5000  3.10
Cd 0.0000 0.0000 0.0000  0.01



Entry 8:
Compound: CdAs2WBr
Source: the Alexandria database
Functional: PBE
Structure: relaxed

Computed properties:
Formation energy (no corrections) (eV/atom): 0.393
Energy above the most stable polymorph in this dataset (meV per atom): 0
Space-group type: P4/mmm, No. 123
Volume (Å³ per atom): 25.86
Spin magnetization (μB/f.u.): 0.24
Total energy (eV per atom): -4.57

abc: 4.8731 4.8731 5.4445
angles: 90.00 90.00 90.00
Last column: magnetic moment on the atom in μB.
Atoms (fractional coordinates):
As 0.0000 0.5000 0.0000  -0.01
As 0.5000 0.0000 0.0000  -0.01
Br 0.0000 0.0000 0.5000  0.01
W 0.0000 0.0000 0.0000  0.23
Cd 0.5000 0.5000 0.5000  0.00



Entry 9:
Compound: YCdAsBr2
Source: the Alexandria database
Functional: PBE
Structure: relaxed

Computed properties:
Formation energy (no corrections) (eV/atom): -0.643
Energy above the most stable polymorph in this dataset (meV per atom): 0
Space-group type: P4/mmm, No. 123
Volume (Å³ per atom): 34.92
Spin magnetization (μB/f.u.): 0.00
Total energy (eV per atom): -3.72

abc: 5.4666 5.4666 5.8433
angles: 90.00 90.00 90.00
Atoms (fractional coordinates):
Y 0.0000 0.0000 0.0000
As 0.0000 0.0000 0.5000
Br 0.0000 0.5000 0.0000
Br 0.5000 0.0000 0.0000
Cd 0.5000 0.5000 0.5000



Entry 10:
Compound: YCdAsBr2
Source: the Alexandria database
Functional: PBE
Structure: relaxed

Computed properties:
Formation energy (no corrections) (eV/atom): -0.196
Energy above the most stable polymorph in this dataset (meV per atom): 447
Space-group type: P4/mmm, No. 123
Volume (Å³ per atom): 29.97
Spin magnetization (μB/f.u.): 0.00
Total energy (eV per atom): -3.27

abc: 5.2087 5.2087 5.5233
angles: 90.00 90.00 90.00
Atoms (fractional coordinates):
Y 0.5000 0.5000 0.5000
As 0.0000 0.0000 0.5000
Br 0.0000 0.5000 0.0000
Br 0.5000 0.0000 0.0000
Cd 0.0000 0.0000 0.0000



Entry 11:
Compound: ZnCdAs2Br
Source: the Alexandria database
Functional: PBE
Structure: relaxed

Computed properties:
Formation energy (no corrections) (eV/atom): 0.438
Energy above the most stable polymorph in this dataset (meV per atom): 0
Space-group type: P4/mmm, No. 123
Volume (Å³ per atom): 25.66
Spin magnetization (μB/f.u.): 1.04
Total energy (eV per atom): -2.19

abc: 4.8745 4.8745 5.3992
angles: 90.00 90.00 90.00
Last column: magnetic moment on the atom in μB.
Atoms (fractional coordinates):
As 0.0000 0.5000 0.0000  0.22
As 0.5000 0.0000 0.0000  0.22
Zn 0.0000 0.0000 0.0000  0.00
Br 0.0000 0.0000 0.5000  0.11
Cd 0.5000 0.5000 0.5000  -0.01



Entry 12:
Compound: ZnCdAs2Br
Source: the Alexandria database
Functional: PBE
Structure: relaxed

Computed properties:
Formation energy (no corrections) (eV/atom): 0.732
Energy above the most stable polymorph in this dataset (meV per atom): 294
Space-group type: P4/mmm, No. 123
Volume (Å³ per atom): 31.04
Spin magnetization (μB/f.u.): 1.83
Total energy (eV per atom): -1.90

abc: 5.2481 5.2481 5.6342
angles: 90.00 90.00 90.00
Last column: magnetic moment on the atom in μB.
Atoms (fractional coordinates):
As 0.0000 0.5000 0.0000  0.37
As 0.5000 0.0000 0.0000  0.37
Zn 0.5000 0.5000 0.5000  0.01
Br 0.0000 0.0000 0.5000  0.13
Cd 0.0000 0.0000 0.0000  0.01



Entry 13:
Compound: ZrCdAsBr2
Source: the Alexandria database
Functional: PBE
Structure: relaxed

Computed properties:
Formation energy (no corrections) (eV/atom): 0.438
Energy above the most stable polymorph in this dataset (meV per atom): 854
Space-group type: P4/mmm, No. 123
Volume (Å³ per atom): 29.41
Spin magnetization (μB/f.u.): 1.16
Total energy (eV per atom): -3.05

abc: 5.2203 5.2203 5.3969
angles: 90.00 90.00 90.00
Last column: magnetic moment on the atom in μB.
Atoms (fractional coordinates):
As 0.0000 0.0000 0.5000  -0.19
Br 0.0000 0.5000 0.0000  -0.04
Br 0.5000 0.0000 0.0000  -0.04
Zr 0.5000 0.5000 0.5000  1.14
Cd 0.0000 0.0000 0.0000  0.00